# Nd2InB2Rh5, optimized geometry, DFT PBE
# Formation energy: -6.7 eV per formula unit
# Total energy: -6.9091 eV/atom
data_Nd2InB2Rh5
_chemical_formula_sum 'Nd4 In2 B4 Rh10'
_cell_length_a 9.8294
_cell_length_b 9.8294
_cell_length_c 3.2667
_cell_angle_alpha 90.00
_cell_angle_beta 90.00
_cell_angle_gamma 90.00
_symmetry_space_group_name_H-M 'P 4/m b m'
_symmetry_Int_Tables_number 127
_symmetry_space_group_name_Hall '-P 4 2ab'
loop_
_atom_site_label
_atom_site_type_symbol
_atom_site_fract_x
_atom_site_fract_y
_atom_site_fract_z
Nd1 Nd 0.1772 0.3228 0.0000
In1 In 0.0000 0.0000 0.0000
B1 B 0.1198 0.6198 0.0000
Rh1 Rh 0.0000 0.5000 0.5000
Rh2 Rh 0.0699 0.7703 0.5000